VASP calculation (PBE) on a geometry-optimized Sm4GeRh structure.

- M_tot (μB/f.u.) = 0.000
- E_tot (eV/f.u.) = -34.16
- D(E_F) (states/eV per cell) = 21.6
- ΔE_f (eV per atom) = -0.55
- crystal system = monoclinic

Cell lengths 8.9687, 13.6840, 6.1967 Å; angles 90.00, 120.12, 90.00 degrees
Closest atoms and distances in Å follow each position.
Space group C2/c (No. 15)
Inequivalent atoms, fractional coordinates:
Sm 0.1223 0.1853 0.0880 (multiplicity 8)  2 Rh 3.11-3.13, 2 Ge 3.11-3.14, 1 Sm 3.48
Sm 0.2100 0.4362 0.3027 (multiplicity 8)  2 Rh 2.82-2.92, 2 Ge 3.09-3.15
Ge 0.0000 0.3724 0.7500 (multiplicity 4)  8 Sm 3.09-3.15
Rh 0.0000 0.0009 0.2500 (multiplicity 4)  8 Sm 2.82-3.13, 2 Rh 3.10


VASP calculation (PBE) on a geometry-optimized Li2TeMo structure.

- M_tot (μB/f.u.) = 0.000
- E_tot (eV/f.u.) = -17.29
- D(E_F) (states/eV per cell) = 3.4
- crystal system = orthorhombic

Cell lengths 3.6689, 4.2289, 4.2659 Å; angles 90.00, 90.00, 90.00 degrees
Closest atoms and distances in Å follow each position.
Space group Pmmm (No. 47)
Inequivalent atoms, fractional coordinates:
Li 0.0000 0.0000 0.0000 (multiplicity 1)  4 Mo 2.80, 4 Li 2.81, 4 Te 3.00
Li 0.5000 0.0000 0.5000 (multiplicity 1)  4 Te 2.80, 4 Li 2.81, 4 Mo 3.00
Te 0.0000 0.5000 0.5000 (multiplicity 1)  8 Li 2.80-3.00, 4 Mo 2.81
Mo 0.5000 0.5000 0.0000 (multiplicity 1)  8 Li 2.80-3.00, 4 Te 2.81


VASP calculation (PBE) on a geometry-optimized BaTa3Pb structure.

- M_tot (μB/f.u.) = 0.832
- E_tot (eV/f.u.) = -30.97
- D(E_F) (states/eV per cell) = 8.4
- ΔE_f (eV per atom) = 2.04
- crystal system = cubic

Cell lengths 5.3294, 5.3294, 5.3294 Å; angles 90.00, 90.00, 90.00 degrees
Closest atoms and distances in Å follow each position.
Space group Pm-3m (No. 221)
Inequivalent atoms, fractional coordinates:
Ba 0.0000 0.0000 0.0000 (multiplicity 1)  12 Ta 3.77
Ta 0.0000 0.5000 0.5000 (multiplicity 3)  2 Pb 2.66
Pb 0.5000 0.5000 0.5000 (multiplicity 1)  6 Ta 2.66


VASP calculation (PBE) on a geometry-optimized CuSb2C structure.

- M_tot (μB/f.u.) = 0.000
- E_tot (eV/f.u.) = -18.84
- D(E_F) (states/eV per cell) = 5.7
- crystal system = tetragonal

Cell lengths 5.6280, 5.6280, 10.4701 Å; angles 90.00, 90.00, 90.00 degrees
Closest atoms and distances in Å follow each position.
Space group I-42d (No. 122)
Inequivalent atoms, fractional coordinates:
Cu 0.0000 0.0000 0.0000 (multiplicity 4)  4 Sb 2.52
Sb 0.2094 0.2500 0.6250 (multiplicity 8)  2 C 2.25, 2 Cu 2.52
C 0.0000 0.0000 0.5000 (multiplicity 4)  4 Sb 2.25


VASP calculation (PBE) on a geometry-optimized Ce4O structure.

- M_tot (μB/f.u.) = 0.000
- E_tot (eV/f.u.) = -34.15
- D(E_F) (states/eV per cell) = 11.6
- crystal system = cubic

Cell lengths 4.8791, 4.8791, 4.8791 Å; angles 90.00, 90.00, 90.00 degrees
Closest atoms and distances in Å follow each position.
Space group Pm-3m (No. 221)
Inequivalent atoms, fractional coordinates:
Ce 0.0000 0.0000 0.0000 (multiplicity 1)  12 Ce 3.45
Ce 0.0000 0.5000 0.5000 (multiplicity 3)  2 O 2.44
O 0.5000 0.5000 0.5000 (multiplicity 1)  6 Ce 2.44


VASP calculation (PBE) on a geometry-optimized Ca2BC structure.

- M_tot (μB/f.u.) = 1.003
- E_tot (eV/f.u.) = -15.06
- D(E_F) (states/eV per cell) = 12.9
- ΔE_f (eV per atom) = 1.21
- crystal system = tetragonal

Cell lengths 6.9143, 6.9143, 6.7283 Å; angles 90.00, 90.00, 90.00 degrees
Closest atoms and distances in Å follow each position.
Space group I-42d (No. 122)
Inequivalent atoms, fractional coordinates:
Ca 0.2183 0.2500 0.1250 (multiplicity 8)  2 C 2.44, 2 B 2.74
B 0.0000 0.0000 0.5000 (multiplicity 4)  4 Ca 2.74
C 0.0000 0.0000 0.0000 (multiplicity 4)  4 Ca 2.44